FeWN3 | PBE | optimized geometry

total magnetic moment	0.23	μB per atom
DFT total energy	-8.06	eV/atom
symmetry	Pm-3m

extended XYZ file:
```
5
Lattice="3.596 0.000 0.000 0.000 3.596 0.000 0.000 0.000 3.596" Properties=species:S:1:pos:R:3 pbc="T T T"
N 1.798 0.000 0.000
N 0.000 0.000 1.798
N 0.000 1.798 0.000
Fe 0.000 0.000 0.000
W 1.798 1.798 1.798
```

FeWN2 | PBE | optimized geometry

total magnetic moment	0.89	μB per atom
DFT total energy	-9.73	eV/atom
symmetry	P6_3/mmc

extended XYZ file:
```
8
Lattice="1.445 -2.504 0.000 1.445 2.504 0.000 0.000 0.000 11.015" Properties=species:S:1:pos:R:3 pbc="T T T"
Fe 0.000 0.000 0.000
Fe 0.000 0.000 5.508
N 1.445 -0.835 9.570
N 1.445 0.835 4.062
N 1.445 -0.835 6.953
N 1.445 0.835 1.446
W 0.000 0.000 8.262
W 0.000 0.000 2.754
```

Which of these has the highest DFT total energy?
FeWN3

Which of these has the lowest total magnetic moment?
FeWN3

Please write out number 2 again, unchanged.
FeWN2 | PBE | optimized geometry

total magnetic moment	0.89	μB per atom
DFT total energy	-9.73	eV/atom
symmetry	P6_3/mmc

extended XYZ file:
```
8
Lattice="1.445 -2.504 0.000 1.445 2.504 0.000 0.000 0.000 11.015" Properties=species:S:1:pos:R:3 pbc="T T T"
Fe 0.000 0.000 0.000
Fe 0.000 0.000 5.508
N 1.445 -0.835 9.570
N 1.445 0.835 4.062
N 1.445 -0.835 6.953
N 1.445 0.835 1.446
W 0.000 0.000 8.262
W 0.000 0.000 2.754
```